Entry 1:
Below is a relaxed structure of Na3PmPd8, with properties calculated at the PBE level. Values from VASP.

Geometry as Quantum ESPRESSO input:
```
&SYSTEM
  ibrav = 0, nat = 12, ntyp = 3
/
ATOMIC_SPECIES
Pd 106.42 Pd.upf
Na 22.99 Na.upf
Pm 145.00 Pm.upf
CELL_PARAMETERS angstrom
5.187 0.000 1.566
2.357 4.621 1.566
-0.001 -0.001 9.379
ATOMIC_POSITIONS angstrom
Pd 5.882 2.021 3.930
Na 3.722 2.280 6.420
Pd 3.300 2.021 3.151
Pd 4.473 4.321 3.930
Pd 4.496 4.332 8.572
Pd 1.414 0.866 4.690
Pd 7.073 4.332 9.350
Na 0.040 0.024 9.243
Pm 6.605 4.045 6.244
Pd 5.187 3.177 10.942
Pd 5.902 2.036 8.572
Na 2.821 1.728 9.404
```

## Properties
Its volume is 225 Å³/f.u. Its formation energy is -8.9 kcal/mol of atoms. The symmetry is R3m (160). The value obtained for the total energy is -54.875 eV/f.u.

Entry 2:
Below is a relaxed structure of CaLa2HfP4, with properties calculated at the PBE level. Values from VASP.

Geometry as Quantum ESPRESSO input:
```
&SYSTEM
  ibrav = 0, nat = 8, ntyp = 4
/
ATOMIC_SPECIES
P 30.97 P.upf
Hf 178.49 Hf.upf
La 138.91 La.upf
Ca 40.08 Ca.upf
CELL_PARAMETERS angstrom
-3.732 0.807 1.423
-0.435 -6.611 2.610
2.763 4.216 4.853
ATOMIC_POSITIONS angstrom
P 2.021 1.670 4.353
Hf 0.000 0.000 0.000
La -0.484 2.512 3.138
La 1.164 -1.197 3.732
P 0.307 -4.064 3.111
P -0.054 -1.424 6.500
Ca -2.083 -2.902 2.017
P -1.349 -0.163 2.387
```

## Properties
Its volume is 192 Å³/f.u. Its formation energy is -31.0 kcal/mol of atoms. The symmetry is P2/m (10). The value obtained for the total energy is -54.202 eV/f.u.

Entry 3:
Below is a relaxed structure of CaNiRu, with properties calculated at the PBE level. Values from VASP.

Geometry as Quantum ESPRESSO input:
```
&SYSTEM
  ibrav = 0, nat = 3, ntyp = 3
/
ATOMIC_SPECIES
Ni 58.69 Ni.upf
Ru 101.07 Ru.upf
Ca 40.08 Ca.upf
CELL_PARAMETERS angstrom
-3.362 -2.763 0.727
0.623 -4.357 -0.295
-0.062 -2.489 3.642
ATOMIC_POSITIONS angstrom
Ni 0.000 0.000 0.000
Ru -1.401 -4.804 2.037
Ca -2.101 -7.206 3.055
```

## Properties
For the energy above the lowest structure with this stoichiometry, the calculation gives 1388 meV/atom. Its volume is 61 Å³/f.u. Its formation energy is 30.6 kcal/mol of atoms. The symmetry is F-43m (216). The value obtained for the total energy is -13.078 eV/f.u.

Entry 4:
Below is a relaxed structure of Li2AgSn4, with properties calculated at the PBE level. Values from VASP.

Geometry as Quantum ESPRESSO input:
```
&SYSTEM
  ibrav = 0, nat = 7, ntyp = 3
/
ATOMIC_SPECIES
Ag 107.87 Ag.upf
Li 6.94 Li.upf
Sn 118.71 Sn.upf
CELL_PARAMETERS angstrom
-3.099 4.061 1.538
-3.966 -3.417 1.031
5.581 -0.952 4.507
ATOMIC_POSITIONS angstrom
Ag 0.000 0.000 0.000
Li -2.992 0.156 2.813
Sn -1.983 -1.708 0.516
Sn -0.525 1.716 3.664
Li 1.508 -0.463 4.263
Sn -0.959 -2.023 3.411
Sn -1.550 2.031 0.769
```

## Properties
For the energy above the lowest structure with this stoichiometry, the calculation gives 128 meV/atom. Its volume is 176 Å³/f.u. Its formation energy is 0.5 kcal/mol of atoms. The symmetry is I4/mmm (139). The value obtained for the total energy is -22.547 eV/f.u.

Entry 5:
Below is a relaxed structure of NaAcBiI, with properties calculated at the PBE level. Values from VASP.

Geometry as Quantum ESPRESSO input:
```
&SYSTEM
  ibrav = 0, nat = 4, ntyp = 4
/
ATOMIC_SPECIES
Ac 227.00 Ac.upf
I 126.90 I.upf
Na 22.99 Na.upf
Bi 208.98 Bi.upf
CELL_PARAMETERS angstrom
5.791 0.000 0.000
2.896 5.015 0.000
2.896 1.672 4.728
ATOMIC_POSITIONS angstrom
Ac 0.000 0.000 0.000
I 2.896 1.672 1.182
Na 5.791 3.344 2.364
Bi 8.687 5.015 3.546
```

## Properties
Its volume is 137 Å³/f.u. As for the uncorrected formation energy: -19.97 kcal/mol of atoms. The symmetry is F-43m (216). The value obtained for the total energy is -14.322 eV/f.u.

Entry 6:
Below is a relaxed structure of ZrBeC3, with properties calculated at the PBE level. Values from VASP.

Geometry as Quantum ESPRESSO input:
```
&SYSTEM
  ibrav = 0, nat = 5, ntyp = 3
/
ATOMIC_SPECIES
Be 9.01 Be.upf
Zr 91.22 Zr.upf
C 12.01 C.upf
CELL_PARAMETERS angstrom
4.298 0.000 0.000
0.000 4.298 0.000
0.000 0.000 4.298
ATOMIC_POSITIONS angstrom
Be 2.149 2.149 2.149
Zr 0.000 0.000 0.000
C 2.149 0.000 0.000
C 0.000 2.149 0.000
C 0.000 0.000 2.149
```

## Properties
For the energy above the lowest structure with this stoichiometry, the calculation gives 1276 meV/atom. Its volume is 79 Å³/f.u. Its formation energy is 59.3 kcal/mol of atoms. The symmetry is Pm-3m (221). The value obtained for the total energy is -27.099 eV/f.u.

Entry 7:
Below is a relaxed structure of Be2TcAs, with properties calculated at the PBE level. Values from VASP.

Geometry as Quantum ESPRESSO input:
```
&SYSTEM
  ibrav = 0, nat = 4, ntyp = 3
/
ATOMIC_SPECIES
Be 9.01 Be.upf
As 74.92 As.upf
Tc 98.00 Tc.upf
CELL_PARAMETERS angstrom
2.667 0.000 0.000
0.000 2.667 0.000
0.000 0.000 7.402
ATOMIC_POSITIONS angstrom
Be 0.000 0.000 0.227
Be 0.000 0.000 3.474
As 1.333 1.333 5.552
Tc 1.333 1.333 1.851
```

## Properties
Its volume is 53 Å³/f.u. Its formation energy is 7.7 kcal/mol of atoms. The symmetry is P4/mmm (123). The value obtained for the total energy is -21.134 eV/f.u.

Entry 8:
Below is a relaxed structure of LiPuHgPt, with properties calculated at the PBE level. Values from VASP.

Geometry as Quantum ESPRESSO input:
```
&SYSTEM
  ibrav = 0, nat = 4, ntyp = 4
/
ATOMIC_SPECIES
Hg 200.59 Hg.upf
Pt 195.08 Pt.upf
Pu 244.00 Pu.upf
Li 6.94 Li.upf
CELL_PARAMETERS angstrom
-0.901 -2.217 -4.210
-3.083 -3.731 -0.160
-4.316 0.516 -2.133
ATOMIC_POSITIONS angstrom
Hg -2.075 -1.358 -1.626
Pt 0.000 0.000 0.000
Pu -6.225 -4.074 -4.878
Li -4.150 -2.716 -3.252
```

## Properties
Its volume is 80 Å³/f.u. Its formation energy is -8.6 kcal/mol of atoms. The symmetry is F-43m (216). The value obtained for the total energy is -24.088 eV/f.u.